A relaxed MgPdCl2 crystal. Source: Alexandria, functional PBE-GGA.

abc: 4.6550 4.6550 4.6550
angles: 60.00 60.00 60.00
Element x y z (fractional)
Mg: 0.0000 0.0000 0.0000
Pd: 0.5000 0.5000 0.5000
Cl: 0.2500 0.2500 0.2500
Cl: 0.7500 0.7500 0.7500

Properties
**D(E_F)**: 0.082 states/eV/atom
**Total DFT energy (no corrections)**: -3.2004 eV/atom
**Uncorrected formation energy**: -0.580 eV per atom
**SG**: Fm-3m
**E above lowest polymorph**: 267 meV/atom